KCoSb4 | PBE-GGA | optimized geometry

abc: 6.303 6.303 6.303
angles: 60.00 60.00 60.00
Each line ends with the local moment (μB).
Fractional coordinates of all 6 atoms:
Sb  0.376  0.872  0.376  0.03
Sb  0.376  0.376  0.872  0.03
Sb  0.376  0.376  0.376  0.03
Sb  0.872  0.376  0.376  0.03
Co  0.750  0.750  0.750  2.15
K  0.000  0.000  0.000  0.00

Properties
- formation energy (no corrections) (eV/f.u.) = 2.742
- N(E_F) (states/eV per cell) = 4.61
- magnetic moment (μB/atom) = 0.423
- crystal system = cubic
- DFT total energy (eV/atom) = -3.66